Computed, not measured: a geometry-optimized TaV2CrIn structure at the PBE-GGA level of DFT.

Unit cell a=4.6674 b=5.0346 c=4.6674 alpha=90.00 beta=90.00 gamma=90.00
Fractional coordinates of all 5 atoms:
In 0.0000 0.0000 0.0000
V 0.5000 0.0000 0.0000
V 0.0000 0.0000 0.5000
Ta 0.0000 0.5000 0.0000
Cr 0.5000 0.5000 0.5000

Summary:
N(E_F)	2.1765	states/eV/atom
E	-6.0232	eV/atom



Computed, not measured: a geometry-optimized TaVCrIn2 structure at the PBE-GGA level of DFT.

Unit cell a=5.0410 b=5.0410 c=4.0482 alpha=90.00 beta=90.00 gamma=90.00
Last column: magnetic moment on the atom in μB.
Fractional coordinates of all 5 atoms:
Ta 0.5000 0.5000 0.5000  -0.31
Cr 0.0000 0.0000 0.5000  1.88
V 0.0000 0.0000 0.0000  -0.51
In 0.5000 0.0000 0.0000  -0.01
In 0.0000 0.5000 0.0000  -0.01

Summary:
N(E_F)	1.0133	states/eV/atom
E	-5.9857	eV/atom